Entry 1:
The following is a PBE calculation of an optimized crystal structure of CaCd4Au2, from Alexandria.

Calculated values
Polymorph energy (0 for the lowest one), eV/atom: 0.039
Energy of formation from the pure elements, eV per atom: -0.33

Unit cell a=4.270 b=17.732 c=4.332 alpha=90.00 beta=90.00 gamma=90.00
Sites, in units of the cell vectors:
Ca  0.000  0.000  0.000
Ca  0.500  0.500  0.000
Cd  0.000  0.182  0.500
Cd  0.000  0.319  0.000
Cd  0.000  0.681  0.000
Cd  0.000  0.818  0.500
Cd  0.500  0.181  0.000
Cd  0.500  0.318  0.500
Cd  0.500  0.682  0.500
Cd  0.500  0.819  0.000
Au  0.000  0.424  0.500
Au  0.000  0.576  0.500
Au  0.500  0.076  0.500
Au  0.500  0.924  0.500



Entry 2:
The following is a PBE calculation of an optimized crystal structure of Ca12CdAu5, from Alexandria.

Calculated values
Energy of formation from the pure elements, eV per atom: -0.53

Unit cell a=8.990 b=8.990 c=8.990 alpha=114.86 beta=111.07 gamma=102.72
Sites, in units of the cell vectors:
Ca  0.049  0.239  0.810
Ca  0.176  0.282  0.458
Ca  0.176  0.718  0.893
Ca  0.339  0.030  0.690
Ca  0.339  0.649  0.310
Ca  0.429  0.239  0.190
Ca  0.571  0.761  0.810
Ca  0.661  0.351  0.690
Ca  0.661  0.970  0.310
Ca  0.824  0.282  0.107
Ca  0.824  0.718  0.542
Ca  0.951  0.761  0.190
Cd  0.500  0.500  0.000
Au  0.000  0.000  0.000
Au  0.132  0.632  0.500
Au  0.326  0.000  0.326
Au  0.674  0.000  0.674
Au  0.868  0.368  0.500



Entry 3:
The following is a PBE calculation of an optimized crystal structure of Ca11Cd9Au4, from Alexandria.

Calculated values
Energy of formation from the pure elements, eV per atom: -0.49

Unit cell a=13.633 b=13.633 c=3.784 alpha=90.00 beta=90.00 gamma=113.72
Sites, in units of the cell vectors:
Ca  0.000  0.000  0.000
Ca  0.071  0.414  0.000
Ca  0.161  0.839  0.000
Ca  0.296  0.296  0.000
Ca  0.365  0.635  0.000
Ca  0.414  0.071  0.000
Ca  0.586  0.929  0.000
Ca  0.635  0.365  0.000
Ca  0.704  0.704  0.000
Ca  0.839  0.161  0.000
Ca  0.929  0.586  0.000
Cd  0.067  0.213  0.500
Cd  0.154  0.634  0.500
Cd  0.213  0.067  0.500
Cd  0.366  0.846  0.500
Cd  0.500  0.500  0.500
Cd  0.634  0.154  0.500
Cd  0.787  0.933  0.500
Cd  0.846  0.366  0.500
Cd  0.933  0.787  0.500
Au  0.253  0.450  0.500
Au  0.450  0.253  0.500
Au  0.550  0.747  0.500
Au  0.747  0.550  0.500



no.,DOS(E_F) (states/eV per atom)
1,0.45
2,0.81
3,0.68